Material: YZrIn3
Method: DFT, PBE
State: optimized geometry

Values from the calculation:
As for the symmetry: No. 221. The energy above the most stable polymorph in this dataset is 375 meV per atom. The size of the total moment comes out at 0.00 μB/atom. The formation energy comes out at 314 meV/atom. The mass density comes out at 5.46 Mg/m³.

Cell lengths 5.422, 5.422, 5.422 Å; angles 90.00, 90.00, 90.00 degrees
Atoms (fractional coordinates):
Y: 0.500 0.500 0.500
Zr: 0.000 0.000 0.000
In: 0.000 0.500 0.000
In: 0.000 0.000 0.500
In: 0.500 0.000 0.000

Material: La2In2Ag
Method: DFT, PBE
State: optimized geometry

Values from the calculation:
As for the symmetry: No. 127. The energy above the most stable polymorph in this dataset is 339 meV per atom. The size of the total moment comes out at 0.00 μB/atom. The formation energy comes out at -103 meV/atom. The mass density comes out at 6.57 Mg/m³.

Cell lengths 9.438, 9.438, 3.490 Å; angles 90.00, 90.00, 90.00 degrees
Atoms (fractional coordinates):
In: 0.113 0.613 0.500
In: 0.613 0.887 0.500
In: 0.887 0.387 0.500
In: 0.387 0.113 0.500
Ag: 0.000 0.000 0.000
Ag: 0.500 0.500 0.000
La: 0.317 0.817 0.000
La: 0.817 0.683 0.000
La: 0.683 0.183 0.000
La: 0.183 0.317 0.000

Material: BaAl2Ga2
Method: DFT, PBE
State: optimized geometry

Values from the calculation:
As for the symmetry: No. 127. The size of the total moment comes out at 0.00 μB/atom. The formation energy comes out at -68 meV/atom. The mass density comes out at 4.86 Mg/m³.

Cell lengths 8.337, 8.337, 3.255 Å; angles 90.00, 90.00, 90.00 degrees
Atoms (fractional coordinates):
Ba: 0.000 0.000 0.000
Ba: 0.500 0.500 0.000
Ga: 0.156 0.656 0.500
Ga: 0.656 0.844 0.500
Ga: 0.844 0.344 0.500
Ga: 0.344 0.156 0.500
Al: 0.379 0.879 0.000
Al: 0.879 0.621 0.000
Al: 0.621 0.121 0.000
Al: 0.121 0.379 0.000

Material: KNaF
Method: DFT, PBE
State: optimized geometry

Values from the calculation:
As for the symmetry: No. 107. The energy above the most stable polymorph in this dataset is 96 meV per atom. The size of the total moment comes out at 0.00 μB/atom. The mass density comes out at 1.72 Mg/m³. The formation energy (no corrections) comes out at -1585 meV/atom.

Cell lengths 3.389, 3.389, 7.209 Å; angles 103.59, 103.59, 90.00 degrees
Atoms (fractional coordinates):
Na: 0.960 0.960 0.919
K: 0.727 0.727 0.454
F: 0.313 0.313 0.627

Material: Na2In2Pb7
Method: DFT, PBE
State: optimized geometry

Values from the calculation:
As for the symmetry: No. 12. The energy above the most stable polymorph in this dataset is 2 meV per atom. The size of the total moment comes out at 0.00 μB/atom. The formation energy comes out at -1 meV/atom. The mass density comes out at 8.20 Mg/m³.

Cell lengths 9.305, 6.932, 6.932 Å; angles 126.72, 95.76, 95.76 degrees
Atoms (fractional coordinates):
Na: 0.790 0.366 0.366
Na: 0.210 0.634 0.634
In: 0.500 0.227 0.773
In: 0.500 0.773 0.227
Pb: 0.180 0.017 0.437
Pb: 0.820 0.563 0.983
Pb: 0.820 0.983 0.563
Pb: 0.180 0.437 0.017
Pb: 0.000 0.000 0.000
Pb: 0.590 0.768 0.768
Pb: 0.410 0.232 0.232

Material: Pr12Y5Ho2
Method: DFT, PBE
State: optimized geometry

Values from the calculation:
As for the symmetry: No. 12. The energy above the most stable polymorph in this dataset is 0 meV per atom. The size of the total moment comes out at 0.00 μB/atom. The formation energy comes out at 131 meV/atom. The mass density comes out at 6.08 Mg/m³.

Cell lengths 7.183, 8.852, 11.871 Å; angles 109.51, 107.61, 90.00 degrees
Atoms (fractional coordinates):
Pr: 0.859 0.945 0.718
Pr: 0.453 0.794 0.401
Pr: 0.948 0.794 0.401
Pr: 0.362 0.385 0.211
Pr: 0.849 0.385 0.211
Pr: 0.548 0.696 0.096
Pr: 0.452 0.304 0.904
Pr: 0.638 0.615 0.789
Pr: 0.151 0.615 0.789
Pr: 0.547 0.206 0.599
Pr: 0.052 0.206 0.599
Pr: 0.141 0.055 0.282
Y: 0.751 0.509 0.502
Y: 0.650 0.098 0.299
Y: 0.000 0.500 0.000
Y: 0.350 0.902 0.701
Y: 0.249 0.491 0.498
Ho: 0.742 0.000 0.000
Ho: 0.258 0.000 0.000

Material: Hg2IBr2
Method: DFT, PBE
State: optimized geometry

Values from the calculation:
As for the symmetry: No. 2. The energy above the most stable polymorph in this dataset is 0 meV per atom. The size of the total moment comes out at 0.00 μB/atom. The mass density comes out at 5.29 Mg/m³. The formation energy (no corrections) comes out at -351 meV/atom.

Cell lengths 9.137, 8.006, 8.305 Å; angles 62.94, 72.71, 52.97 degrees
Atoms (fractional coordinates):
Hg: 0.399 0.431 0.122
Hg: 0.863 0.372 0.417
Hg: 0.601 0.569 0.878
Hg: 0.137 0.628 0.583
I: 0.100 0.926 0.249
I: 0.900 0.074 0.751
Br: 0.254 0.260 0.405
Br: 0.736 0.677 0.118
Br: 0.746 0.740 0.595
Br: 0.264 0.323 0.882

Material: AcTb3Pm6
Method: DFT, PBE
State: optimized geometry

Values from the calculation:
As for the symmetry: No. 36. The energy above the most stable polymorph in this dataset is 6 meV per atom. The size of the total moment comes out at 0.00 μB/atom. The formation energy comes out at 137 meV/atom. The mass density comes out at 7.47 Mg/m³.

Cell lengths 9.270, 9.079, 9.079 Å; angles 113.66, 90.00, 90.00 degrees
Atoms (fractional coordinates):
Ac: 0.058 0.302 0.698
Ac: 0.558 0.698 0.302
Tb: 0.491 0.854 0.726
Tb: 0.991 0.726 0.854
Tb: 0.345 0.462 0.538
Tb: 0.845 0.538 0.462
Tb: 0.991 0.146 0.274
Tb: 0.491 0.274 0.146
Pm: 0.162 0.814 0.542
Pm: 0.662 0.542 0.814
Pm: 0.330 0.676 0.971
Pm: 0.830 0.971 0.676
Pm: 0.182 0.062 0.938
Pm: 0.434 0.235 0.765
Pm: 0.934 0.765 0.235
Pm: 0.682 0.938 0.062
Pm: 0.330 0.029 0.324
Pm: 0.830 0.324 0.029
Pm: 0.162 0.458 0.186
Pm: 0.662 0.186 0.458

Material: La4HgBi2N2
Method: DFT, PBE
State: optimized geometry

Values from the calculation:
As for the symmetry: No. 12. The size of the total moment comes out at 0.00 μB/atom. The mass density comes out at 7.58 Mg/m³. The formation energy (no corrections) comes out at -1013 meV/atom.

Cell lengths 3.872, 8.167, 9.274 Å; angles 112.83, 102.05, 90.00 degrees
Atoms (fractional coordinates):
La: 0.219 0.156 0.437
La: 0.781 0.844 0.563
La: 0.558 0.745 0.116
La: 0.442 0.255 0.884
Hg: 0.000 0.000 0.000
Bi: 0.127 0.480 0.254
Bi: 0.873 0.520 0.746
N: 0.678 0.968 0.356
N: 0.322 0.032 0.644

Material: HfPIO2
Method: DFT, PBE
State: optimized geometry

Values from the calculation:
As for the symmetry: No. 123. The energy above the most stable polymorph in this dataset is 0 meV per atom. The size of the total moment comes out at 0.05 μB/atom. The mass density comes out at 6.45 Mg/m³. The formation energy (no corrections) comes out at -1348 meV/atom.

Cell lengths 4.025, 4.025, 5.855 Å; angles 90.00, 90.00, 90.00 degrees
Last column: magnetic moment on the atom in μB.
Atoms (fractional coordinates):
I: 0.500 0.500 0.500  0.00
P: 0.000 0.000 0.500  0.00
Hf: 0.000 0.000 0.000  -0.02
O: 0.000 0.500 0.000  0.10
O: 0.500 0.000 0.000  0.10

Material: Ca3RuRh
Method: DFT, PBE
State: optimized geometry

Values from the calculation:
As for the symmetry: No. 221. The energy above the most stable polymorph in this dataset is 0 meV per atom. The size of the total moment comes out at 0.23 μB/atom. The formation energy comes out at 494 meV/atom. The mass density comes out at 3.67 Mg/m³.

Cell lengths 5.274, 5.274, 5.274 Å; angles 90.00, 90.00, 90.00 degrees
Last column: magnetic moment on the atom in μB.
Atoms (fractional coordinates):
Ru: 0.500 0.500 0.500  1.56
Ca: 0.000 0.500 0.000  -0.04
Ca: 0.000 0.000 0.500  -0.03
Ca: 0.500 0.000 0.000  -0.05
Rh: 0.000 0.000 0.000  0.02

Material: SrRhBr2
Method: DFT, PBE
State: optimized geometry

Values from the calculation:
As for the symmetry: No. 71. The energy above the most stable polymorph in this dataset is 66 meV per atom. The size of the total moment comes out at 0.25 μB/atom. The mass density comes out at 5.76 Mg/m³. The formation energy (no corrections) comes out at -803 meV/atom.

Cell lengths 5.633, 5.633, 5.633 Å; angles 137.11, 121.74, 75.01 degrees
Last column: magnetic moment on the atom in μB.
Atoms (fractional coordinates):
Sr: 0.250 0.750 0.500  0.00
Rh: 0.750 0.250 0.500  0.80
Br: 0.939 0.939 0.000  0.07
Br: 0.561 0.561 0.000  0.07

Material: NdBeNi
Method: DFT, PBE
State: optimized geometry

Values from the calculation:
As for the symmetry: No. 198. The energy above the most stable polymorph in this dataset is 19 meV per atom. The size of the total moment comes out at 0.00 μB/atom. The formation energy comes out at -157 meV/atom. The mass density comes out at 6.56 Mg/m³.

Cell lengths 5.988, 5.988, 5.988 Å; angles 90.00, 90.00, 90.00 degrees
Atoms (fractional coordinates):
Be: 0.654 0.654 0.654
Be: 0.846 0.346 0.154
Be: 0.154 0.846 0.346
Be: 0.346 0.154 0.846
Nd: 0.355 0.355 0.355
Nd: 0.145 0.645 0.855
Nd: 0.855 0.145 0.645
Nd: 0.645 0.855 0.145
Ni: 0.080 0.080 0.080
Ni: 0.420 0.920 0.580
Ni: 0.580 0.420 0.920
Ni: 0.920 0.580 0.420

Material: Ho3Tm2Ag2
Method: DFT, PBE
State: optimized geometry

Values from the calculation:
As for the symmetry: No. 65. The energy above the most stable polymorph in this dataset is 9 meV per atom. The size of the total moment comes out at 0.00 μB/atom. The formation energy comes out at -99 meV/atom. The mass density comes out at 9.11 Mg/m³.

Cell lengths 3.565, 3.533, 15.276 Å; angles 90.01, 83.30, 90.00 degrees
Atoms (fractional coordinates):
Ho: 0.877 0.000 0.245
Ho: 0.000 0.000 0.000
Ho: 0.123 0.000 0.755
Tm: 0.702 0.500 0.596
Tm: 0.298 0.500 0.404
Ag: 0.560 0.500 0.880
Ag: 0.440 0.500 0.120

Material: Sr2DyAs3Pd4
Method: DFT, PBE
State: optimized geometry

Values from the calculation:
As for the symmetry: No. 115. The size of the total moment comes out at 0.00 μB/atom. The formation energy comes out at -859 meV/atom. The mass density comes out at 7.60 Mg/m³.

Cell lengths 4.339, 4.339, 11.466 Å; angles 90.00, 90.00, 90.00 degrees
Atoms (fractional coordinates):
Sr: 0.500 0.000 0.221
Sr: 0.000 0.500 0.779
Dy: 0.500 0.500 0.500
As: 0.000 0.000 0.500
As: 0.500 0.000 0.875
As: 0.000 0.500 0.125
Pd: 0.500 0.500 0.000
Pd: 0.000 0.000 0.000
Pd: 0.500 0.000 0.655
Pd: 0.000 0.500 0.345

Material: ZnPbW2
Method: DFT, PBE
State: optimized geometry

Values from the calculation:
As for the symmetry: No. 47. The energy above the most stable polymorph in this dataset is 304 meV per atom. The size of the total moment comes out at 0.00 μB/atom. The formation energy comes out at 812 meV/atom. The mass density comes out at 14.97 Mg/m³.

Cell lengths 3.252, 4.689, 4.658 Å; angles 90.00, 90.00, 90.00 degrees
Atoms (fractional coordinates):
Pb: 0.000 0.500 0.500
W: 0.000 0.000 0.000
W: 0.500 0.500 0.000
Zn: 0.500 0.000 0.500

Material: LaDy2Fe9
Method: DFT, PBE
State: optimized geometry

Values from the calculation:
As for the symmetry: No. 166. The size of the total moment comes out at 1.47 μB/atom. The formation energy comes out at -18 meV/atom. The mass density comes out at 8.60 Mg/m³.

Cell lengths 5.140, 5.140, 8.680 Å; angles 72.78, 72.78, 60.00 degrees
Last column: magnetic moment on the atom in μB.
Atoms (fractional coordinates):
La: 0.000 0.000 0.000  -0.25
Dy: 0.858 0.858 0.426  -0.57
Dy: 0.142 0.142 0.574  -0.57
Fe: 0.667 0.667 0.998  2.41
Fe: 0.333 0.333 0.002  2.41
Fe: 0.500 0.500 0.500  1.87
Fe: 0.418 0.418 0.249  2.14
Fe: 0.915 0.418 0.249  2.14
Fe: 0.418 0.915 0.249  2.14
Fe: 0.582 0.582 0.751  2.14
Fe: 0.582 0.085 0.751  2.14
Fe: 0.085 0.582 0.751  2.14

Material: InHg3
Method: DFT, PBE
State: optimized geometry

Values from the calculation:
As for the symmetry: No. 47. The size of the total moment comes out at 0.00 μB/atom. The formation energy comes out at 9 meV/atom. The mass density comes out at 11.12 Mg/m³.

Cell lengths 3.196, 4.935, 6.782 Å; angles 90.00, 90.00, 90.00 degrees
Atoms (fractional coordinates):
Hg: 0.500 0.500 0.748
Hg: 0.000 0.000 0.500
Hg: 0.500 0.500 0.252
In: 0.000 0.000 0.000

Material: P2RuSeN
Method: DFT, PBE
State: optimized geometry

Values from the calculation:
As for the symmetry: No. 1. The energy above the most stable polymorph in this dataset is 97 meV per atom. The size of the total moment comes out at 0.00 μB/atom. The mass density comes out at 4.36 Mg/m³. The formation energy (no corrections) comes out at 32 meV/atom.

Cell lengths 3.141, 4.876, 6.716 Å; angles 71.94, 89.51, 86.02 degrees
Atoms (fractional coordinates):
P: 0.844 0.277 0.841
P: 0.477 0.852 0.617
Ru: 0.942 0.214 0.529
Se: 0.415 0.653 0.344
N: 0.577 0.579 0.831

Material: Dy6YTm5
Method: DFT, PBE
State: optimized geometry

Values from the calculation:
As for the symmetry: No. 12. The size of the total moment comes out at 0.00 μB/atom. The formation energy comes out at 23 meV/atom. The mass density comes out at 8.56 Mg/m³.

Cell lengths 6.098, 6.104, 12.173 Å; angles 99.59, 109.48, 60.03 degrees
Atoms (fractional coordinates):
Y: 0.000 0.000 0.000
Tm: 0.333 0.333 0.500
Tm: 0.667 0.667 0.000
Tm: 0.000 0.000 0.500
Tm: 0.333 0.333 0.000
Tm: 0.667 0.667 0.500
Dy: 0.168 0.666 0.251
Dy: 0.167 0.666 0.749
Dy: 0.498 0.000 0.749
Dy: 0.502 0.000 0.251
Dy: 0.833 0.334 0.251
Dy: 0.832 0.334 0.749

Material: Pa3Co3Ni5
Method: DFT, PBE
State: optimized geometry

Values from the calculation:
As for the symmetry: No. 189. The size of the total moment comes out at 0.00 μB/atom. The formation energy comes out at -177 meV/atom. The mass density comes out at 10.82 Mg/m³.

Cell lengths 3.434, 7.747, 7.747 Å; angles 120.00, 90.00, 90.00 degrees
Atoms (fractional coordinates):
Pa: 0.000 0.608 0.000
Pa: 0.000 0.000 0.608
Pa: 0.000 0.392 0.392
Co: 0.500 0.824 0.000
Co: 0.500 0.176 0.176
Co: 0.500 0.000 0.824
Ni: 0.500 0.667 0.333
Ni: 0.500 0.333 0.667
Ni: 0.500 0.355 0.000
Ni: 0.500 0.645 0.645
Ni: 0.500 0.000 0.355

Material: AcThGe2Pt5
Method: DFT, PBE
State: optimized geometry

Values from the calculation:
As for the symmetry: No. 123. The size of the total moment comes out at 0.00 μB/atom. The formation energy comes out at -849 meV/atom. The mass density comes out at 14.52 Mg/m³.

Cell lengths 4.529, 4.529, 8.809 Å; angles 90.00, 90.00, 90.00 degrees
Atoms (fractional coordinates):
Ac: 0.000 0.000 0.500
Th: 0.000 0.000 0.000
Ge: 0.500 0.500 0.142
Ge: 0.500 0.500 0.858
Pt: 0.000 0.500 0.257
Pt: 0.500 0.000 0.257
Pt: 0.000 0.500 0.743
Pt: 0.500 0.000 0.743
Pt: 0.500 0.500 0.500

Material: Pr2TmIn
Method: DFT, PBE
State: optimized geometry

Values from the calculation:
As for the symmetry: No. 11. The energy above the most stable polymorph in this dataset is 160 meV per atom. The size of the total moment comes out at 0.00 μB/atom. The formation energy comes out at -103 meV/atom. The mass density comes out at 7.36 Mg/m³.

Cell lengths 4.777, 4.649, 11.749 Å; angles 90.00, 101.92, 90.00 degrees
Atoms (fractional coordinates):
Pr: 0.577 0.250 0.152
Pr: 0.423 0.750 0.848
Pr: 0.062 0.750 0.122
Pr: 0.938 0.250 0.878
Tm: 0.699 0.750 0.393
Tm: 0.301 0.250 0.607
In: 0.172 0.250 0.340
In: 0.828 0.750 0.660

Material: TlCr2W
Method: DFT, PBE
State: optimized geometry

Values from the calculation:
As for the symmetry: No. 12. The energy above the most stable polymorph in this dataset is 409 meV per atom. The size of the total moment comes out at 0.30 μB/atom. The formation energy comes out at 873 meV/atom. The mass density comes out at 13.05 Mg/m³.

Cell lengths 5.471, 5.086, 2.754 Å; angles 80.62, 78.45, 118.92 degrees
Last column: magnetic moment on the atom in μB.
Atoms (fractional coordinates):
Cr: 0.000 0.000 0.000  0.65
Cr: 0.500 0.000 0.500  0.65
Tl: 0.000 0.500 0.500  -0.01
W: 0.500 0.500 0.000  -0.13